CaYSe2Br after structural relaxation. Source: Alexandria via LeMat-Bulk, functional PBE-GGA.

Cell and atoms, written as extended XYZ:
```
5
Lattice="5.509 0.000 0.000 0.000 5.509 0.000 0.000 0.000 5.386" Properties=species:S:1:pos:R:3 pbc="T T T"
Ca 0.000 0.000 0.000
Y 2.754 2.754 2.693
Se 0.000 2.754 2.693
Se 2.754 0.000 2.693
Br 2.754 2.754 0.000
```

Output
- space group = P4/mmm, No. 123
- uncorrected energy (eV for the cell shown) = -24.248
- energy relative to the elements, uncorrected (eV per atom) = -1.43
- total moment (μB per cell) = 0.00
- distance to the lowest polymorph of the same formula (eV per atom) = 0.000
- theoretical density (g/cm³) = 3.727

***

SrNiHg2Au after structural relaxation. Source: Alexandria via LeMat-Bulk, functional PBE-GGA.

Cell and atoms, written as extended XYZ:
```
5
Lattice="4.995 0.000 0.000 0.000 4.995 0.000 0.000 0.000 5.084" Properties=species:S:1:pos:R:3 pbc="T T T"
Sr 0.000 0.000 0.000
Ni 2.497 2.497 2.542
Hg 0.000 2.497 2.542
Hg 2.497 0.000 2.542
Au 2.497 2.497 0.000
```

Output
- space group = P4/mmm, No. 123
- uncorrected energy (eV for the cell shown) = -12.495
- formation energy from the elements (meV/atom) = -230
- total moment (μB per cell) = 0.00
- theoretical density (g/cm³) = 9.747

***

MnFeNi2 after structural relaxation. Source: Alexandria via LeMat-Bulk, functional PBE-GGA.

Cell and atoms, written as extended XYZ:
```
16
Lattice="5.015 0.000 0.000 0.000 5.015 0.000 0.000 0.000 9.779" Properties=species:S:1:pos:R:3 pbc="T T T"
Mn 0.000 0.000 0.000
Mn 0.000 2.507 2.445
Mn 2.507 0.000 7.334
Mn 2.507 2.507 4.890
Fe 0.000 0.000 4.890
Fe 0.000 2.507 7.334
Fe 2.507 0.000 2.445
Fe 2.507 2.507 0.000
Ni 1.256 1.254 1.222
Ni 1.251 1.254 6.112
Ni 1.254 3.763 3.667
Ni 1.254 3.758 8.557
Ni 3.761 1.251 3.667
Ni 3.761 1.256 8.557
Ni 3.758 3.761 1.222
Ni 3.763 3.761 6.112
```

Output
- space group = I-42d, No. 122
- uncorrected energy (eV for the cell shown) = -93.776
- formation energy from the elements (meV/atom) = 1438
- total moment (μB per cell) = 0.00
- theoretical density (g/cm³) = 6.163

***

NaCaMg2Pd after structural relaxation. Source: Alexandria via LeMat-Bulk, functional PBE-GGA.

Cell and atoms, written as extended XYZ:
```
5
Lattice="5.194 0.000 0.000 0.000 5.194 0.000 0.000 0.000 5.460" Properties=species:S:1:pos:R:3 pbc="T T T"
Na 0.000 0.000 0.000
Ca 2.597 2.597 0.000
Mg 0.000 2.597 2.730
Mg 2.597 0.000 2.730
Pd 2.597 2.597 2.730
```

Output
- space group = P4/mmm, No. 123
- uncorrected energy (eV for the cell shown) = -12.842
- formation energy from the elements (meV/atom) = -228
- total moment (μB per cell) = 0.00
- theoretical density (g/cm³) = 2.459

***

MnIn2Re after structural relaxation. Source: Alexandria via LeMat-Bulk, functional PBE-GGA.

Cell and atoms, written as extended XYZ:
```
8
Lattice="4.043 0.000 0.000 0.000 4.043 0.000 0.000 0.000 8.751" Properties=species:S:1:pos:R:3 pbc="T T T"
Mn 0.000 0.000 0.000
Mn 2.022 2.022 4.376
In 0.000 0.000 4.376
In 0.000 2.022 2.188
In 2.022 0.000 6.563
In 2.022 2.022 0.000
Re 0.000 2.022 6.563
Re 2.022 0.000 2.188
```

Output
- space group = I-4m2, No. 119
- uncorrected energy (eV for the cell shown) = -50.043
- formation energy from the elements (meV/atom) = 518
- total moment (μB per cell) = 7.26
- distance to the lowest polymorph of the same formula (eV per atom) = 0.253
- theoretical density (g/cm³) = 10.928

***

Na2BeHg2 after structural relaxation. Source: Alexandria via LeMat-Bulk, functional PBE-GGA.

Cell and atoms, written as extended XYZ:
```
10
Lattice="6.668 0.000 0.000 0.000 6.668 0.000 0.000 0.000 5.264" Properties=species:S:1:pos:R:3 pbc="T T T"
Na 1.127 2.207 0.000
Na 2.207 5.541 0.000
Na 4.461 1.127 0.000
Na 5.541 4.461 0.000
Be 0.000 0.000 2.632
Be 3.334 3.334 2.632
Hg 1.140 4.474 2.632
Hg 2.194 1.140 2.632
Hg 4.474 5.528 2.632
Hg 5.528 2.194 2.632
```

Output
- space group = P4/mbm, No. 127
- uncorrected energy (eV for the cell shown) = -13.158
- formation energy from the elements (meV/atom) = 78
- total moment (μB per cell) = 0.00
- distance to the lowest polymorph of the same formula (eV per atom) = 0.000
- theoretical density (g/cm³) = 6.473